## LaAuS2 (PBE)

Data for a relaxed LaAuS2 crystal.

Output
E above lowest polymorph ... 289 meV/atom
Energy relative to the elements, uncorrected ... -1109 meV per atom
Calculated total energy ... -5.224 eV per atom

a = 4.0808 Å, b = 4.0808 Å, c = 5.6254 Å
α = 90.00°, β = 90.00°, γ = 90.00°
Space group P4/mmm (No. 123)
Asymmetric unit:
La 0.0000 0.0000 0.0000 (multiplicity 1)
Au 0.5000 0.5000 0.5000 (multiplicity 1)
S 0.0000 0.0000 0.5000 (multiplicity 1)
S 0.5000 0.5000 0.0000 (multiplicity 1)